Entry 1:
Compound: Sn4Mo
Source: Alexandria via LeMat-Bulk
Functional: GGA-PBE
Structure: optimized geometry

The structure belongs to space group Pm-3m (No. 221); the cell edges are 5.2931, 5.2931 and 5.2931 Å and the angles 90.00°, 90.00° and 90.00°. Symmetry generates all atoms from Sn at (0.0000, 0.0000, 0.0000), Sn at (0.0000, 0.5000, 0.5000) and Mo at (0.5000, 0.5000, 0.5000).

As for the formation energy: 446 meV per atom. The value obtained for the density of states at the Fermi level is 5.66 states/eV/cell. The calculation puts the energy above the most stable polymorph in this dataset at 335 meV/atom.

Entry 2:
Compound: SnMo
Source: Alexandria via LeMat-Bulk
Functional: GGA-PBE
Structure: optimized geometry

The structure belongs to space group P2_12_12_1 (No. 19); the cell edges are 5.7274, 5.7523 and 9.6677 Å and the angles 90.00°, 90.00° and 90.00°. Symmetry generates all atoms from Sn at (0.0261, 0.1384, 0.0909), Sn at (0.2230, 0.6363, 0.1300), Mo at (0.0313, 0.4868, 0.8695) and Mo at (0.2237, 0.8816, 0.8591).

As for the formation energy: 374 meV per atom. The value obtained for the density of states at the Fermi level is 10.82 states/eV/cell. The calculation puts the energy above the most stable polymorph in this dataset at 131 meV/atom.

Q: What is the energy above the most stable polymorph in this dataset in the second record?
A: 131 meV/atom

Q: What is the energy above the most stable polymorph in this dataset in the first record?
A: 335 meV/atom

Q: Which value of energy above the most stable polymorph in this dataset does entry 1 give?
A: 335 meV/atom

Q: Which value of energy above the most stable polymorph in this dataset does entry 1 give?
A: 335 meV/atom